# Ca2Ga4Cu3Ru

An optimized crystal structure of Ca2Ga4Cu3Ru (GGA-PBE, Alexandria).

abc: 4.1192 4.1192 10.5887
angles: 90.00 90.00 90.00
Fractional coordinates of all 10 atoms:
Ga 0.5000 0.5000 0.0000
Ga 0.0000 0.5000 0.3692
Ga 0.0000 0.0000 0.0000
Ga 0.5000 0.0000 0.6308
Ru 0.5000 0.5000 0.5000
Cu 0.0000 0.5000 0.1352
Cu 0.0000 0.0000 0.5000
Cu 0.5000 0.0000 0.8648
Ca 0.5000 0.0000 0.2488
Ca 0.0000 0.5000 0.7512

Properties
For the calculated formation energy, the calculation gives -0.324 eV per atom.



# CaGaCu2S4

An optimized crystal structure of CaGaCu2S4 (GGA-PBE, Alexandria).

abc: 6.3713 5.8822 5.8822
angles: 80.05 57.21 57.21
Fractional coordinates of all 8 atoms:
Cu 0.5000 0.2502 0.7498
Cu 0.5000 0.7498 0.2502
S 0.0001 0.4673 0.1175
S 0.5849 0.5327 0.8825
S 0.4151 0.1175 0.4673
S 0.9999 0.8825 0.5327
Ga 0.0000 0.5000 0.5000
Ca 0.0000 0.0000 0.0000



# CaGaCuS2

An optimized crystal structure of CaGaCuS2 (GGA-PBE, Alexandria).

abc: 4.7067 4.9288 4.7067
angles: 90.00 90.00 90.00
Fractional coordinates of all 5 atoms:
Ga 0.5000 0.5000 0.5000
S 0.0000 0.0000 0.5000
S 0.5000 0.0000 0.0000
Cu 0.0000 0.0000 0.0000
Ca 0.0000 0.5000 0.0000



# CaScGa2Cu2

An optimized crystal structure of CaScGa2Cu2 (GGA-PBE, Alexandria).

abc: 4.3443 4.3443 6.9319
angles: 90.00 90.00 120.00
Fractional coordinates of all 6 atoms:
Ga 0.3333 0.6667 0.2975
Ga 0.6667 0.3333 0.7025
Sc 0.0000 0.0000 0.5000
Cu 0.6667 0.3333 0.3054
Cu 0.3333 0.6667 0.6946
Ca 0.0000 0.0000 0.0000

Properties
For the calculated formation energy, the calculation gives -0.460 eV per atom.



# CaScGa2Cu5

An optimized crystal structure of CaScGa2Cu5 (GGA-PBE, Alexandria).

abc: 4.2392 4.2392 8.2638
angles: 90.00 90.00 90.00
Fractional coordinates of all 9 atoms:
Cu 0.0000 0.5000 0.2781
Cu 0.5000 0.5000 0.5000
Cu 0.5000 0.0000 0.7219
Cu 0.5000 0.0000 0.2781
Cu 0.0000 0.5000 0.7219
Ga 0.5000 0.5000 0.8534
Ga 0.5000 0.5000 0.1466
Ca 0.0000 0.0000 0.5000
Sc 0.0000 0.0000 0.0000

Properties
For the calculated formation energy, the calculation gives -0.086 eV per atom.



# CaGaCu3Se4

An optimized crystal structure of CaGaCu3Se4 (GGA-PBE, Alexandria).

abc: 5.9899 5.9899 5.9899
angles: 90.00 90.00 90.00
Fractional coordinates of all 9 atoms:
Se 0.7679 0.7679 0.2321
Se 0.2321 0.7679 0.7679
Se 0.2321 0.2321 0.2321
Se 0.7679 0.2321 0.7679
Cu 0.0000 0.0000 0.5000
Cu 0.0000 0.5000 0.0000
Cu 0.5000 0.0000 0.0000
Ca 0.5000 0.5000 0.5000
Ga 0.0000 0.0000 0.0000



Record-wise E_tot values, in eV/atom: -4.091 -4.511 -3.565 -4.224 -3.960 -3.949